Entry 1:
# Sm8Tm4Pu

A geometry-optimized Sm8Tm4Pu structure (PBE, Alexandria).

Computed properties:
ΔH_f (0 K) in eV per atom: 0.49

Cell lengths 7.7701, 7.7701, 7.7701 Å; angles 90.15, 90.15, 90.15 degrees
Closest atoms and distances in Å follow each position.
Fractional coordinates of all 13 atoms:
1 Tm 0.0000 0.5000 0.5000  8 Sm 3.39-3.40
2 Tm 0.5000 0.5000 0.0000  8 Sm 3.39-3.40
3 Tm 0.0000 0.0000 0.0000  8 Sm 3.27-3.28
4 Tm 0.5000 0.0000 0.5000  8 Sm 3.39-3.40
5 Sm 0.2446 0.7566 0.7566  4 Tm 3.28-3.39, 1 Pu 3.45
6 Sm 0.7566 0.7566 0.2446  4 Tm 3.28-3.39, 1 Pu 3.45
7 Sm 0.2434 0.2434 0.7554  4 Tm 3.28-3.39, 1 Pu 3.45
8 Sm 0.7554 0.2434 0.2434  4 Tm 3.28-3.39, 1 Pu 3.45
9 Sm 0.2439 0.2439 0.2439  4 Tm 3.27-3.40, 1 Pu 3.44
10 Sm 0.7561 0.7561 0.7561  4 Tm 3.27-3.40, 1 Pu 3.44
11 Sm 0.2434 0.7554 0.2434  4 Tm 3.28-3.39, 1 Pu 3.45
12 Sm 0.7566 0.2446 0.7566  4 Tm 3.28-3.39, 1 Pu 3.45
13 Pu 0.5000 0.5000 0.5000  8 Sm 3.44-3.45

***

Entry 2:
# FeRe2Se

A geometry-optimized FeRe2Se structure (PBE, Alexandria).

Computed properties:
Energy relative to the elements, uncorrected in eV per atom: 0.63

Cell lengths 4.3330, 4.3330, 4.3330 Å; angles 117.74, 117.74, 93.97 degrees
Closest atoms and distances in Å follow each position.
Fractional coordinates of all 4 atoms:
1 Re 0.0000 0.0000 0.0000  4 Re 2.68, 4 Fe 2.68, 2 Se 2.96
2 Re 0.2500 0.7500 0.5000  4 Se 2.68, 4 Re 2.68, 2 Fe 2.96
3 Fe 0.7500 0.2500 0.5000  6 Re 2.68-2.96, 4 Se 2.68
4 Se 0.5000 0.5000 0.0000  4 Fe 2.68, 6 Re 2.68-2.96

***

Entry 3:
# TbCoHg

A geometry-optimized TbCoHg structure (PBE, Alexandria).

Computed properties:
ΔH_f (0 K) in eV per atom: -0.24

Cell lengths 3.8822, 5.0762, 6.7000 Å; angles 101.63, 106.84, 90.00 degrees
Closest atoms and distances in Å follow each position.
Fractional coordinates of all 6 atoms:
1 Co 0.7687 0.1179 0.5374  2 Co 2.28
2 Co 0.2313 0.8821 0.4626  2 Co 2.28
3 Hg 0.5752 0.7803 0.1505  3 Co 2.70-2.76
4 Hg 0.4248 0.2197 0.8495  3 Co 2.70-2.76
5 Tb 0.8653 0.6770 0.7306  4 Co 2.78-2.93
6 Tb 0.1347 0.3230 0.2694  4 Co 2.78-2.93

***

Entry 4:
# Ho12Tm6Al

A geometry-optimized Ho12Tm6Al structure (PBE, Alexandria).

Computed properties:
ΔH_f (0 K) in eV per atom: 0.09

Cell lengths 8.3456, 8.3456, 8.3456 Å; angles 88.81, 88.81, 88.81 degrees
Closest atoms and distances in Å follow each position.
Fractional coordinates of all 19 atoms:
1 Ho 0.1758 0.3623 0.0146  4 Tm 3.34-3.66, 1 Al 3.39, 5 Ho 3.44-3.70
2 Ho 0.7831 0.5382 0.4354  6 Ho 3.27-3.61, 3 Tm 3.28-3.43
3 Ho 0.9854 0.8242 0.6377  4 Tm 3.34-3.66, 1 Al 3.39, 5 Ho 3.44-3.70
4 Ho 0.4354 0.7831 0.5382  6 Ho 3.27-3.61, 3 Tm 3.28-3.43
5 Ho 0.4618 0.5646 0.2169  6 Ho 3.27-3.61, 3 Tm 3.28-3.43
6 Ho 0.6377 0.9854 0.8242  4 Tm 3.34-3.66, 1 Al 3.39, 5 Ho 3.44-3.70
7 Ho 0.5646 0.2169 0.4618  6 Ho 3.27-3.61, 3 Tm 3.28-3.43
8 Ho 0.5382 0.4354 0.7831  6 Ho 3.27-3.61, 3 Tm 3.28-3.43
9 Ho 0.0146 0.1758 0.3623  4 Tm 3.34-3.66, 1 Al 3.39, 5 Ho 3.44-3.70
10 Ho 0.2169 0.4618 0.5646  6 Ho 3.27-3.61, 3 Tm 3.28-3.43
11 Ho 0.3623 0.0146 0.1758  4 Tm 3.34-3.66, 1 Al 3.39, 5 Ho 3.44-3.70
12 Ho 0.8242 0.6377 0.9854  4 Tm 3.34-3.66, 1 Al 3.39, 5 Ho 3.44-3.70
13 Al 0.0000 0.0000 0.0000  6 Tm 3.28, 6 Ho 3.39
14 Tm 0.2586 0.0974 0.7155  1 Al 3.28, 7 Ho 3.28-3.66, 2 Tm 3.33
15 Tm 0.0974 0.7155 0.2586  1 Al 3.28, 7 Ho 3.28-3.66, 2 Tm 3.33
16 Tm 0.7415 0.9026 0.2845  1 Al 3.28, 7 Ho 3.28-3.66, 2 Tm 3.33
17 Tm 0.7155 0.2586 0.0974  1 Al 3.28, 7 Ho 3.28-3.66, 2 Tm 3.33
18 Tm 0.2845 0.7415 0.9026  1 Al 3.28, 7 Ho 3.28-3.66, 2 Tm 3.33
19 Tm 0.9026 0.2845 0.7415  1 Al 3.28, 7 Ho 3.28-3.66, 2 Tm 3.33

***

Entry 5:
# Cs4Hg4Au

A geometry-optimized Cs4Hg4Au structure (PBE, Alexandria).

Computed properties:
ΔH_f (0 K) in eV per atom: -0.24

Cell lengths 7.7025, 10.6072, 10.6072 Å; angles 90.00, 90.00, 90.00 degrees
Closest atoms and distances in Å follow each position.
Fractional coordinates of all 18 atoms:
1 Au 0.7500 0.2500 0.2500  4 Hg 2.94
2 Au 0.2500 0.7500 0.7500  4 Hg 2.94
3 Cs 0.5737 0.6901 0.4824  5 Hg 3.75-4.12, 1 Au 3.83
4 Cs 0.9263 0.4824 0.8099  5 Hg 3.75-4.12, 1 Au 3.83
5 Cs 0.9263 0.0176 0.6901  5 Hg 3.75-4.12, 1 Au 3.83
6 Cs 0.0737 0.5176 0.1901  5 Hg 3.75-4.12, 1 Au 3.83
7 Cs 0.4263 0.3099 0.5176  5 Hg 3.75-4.12, 1 Au 3.83
8 Cs 0.5737 0.8099 0.0176  5 Hg 3.75-4.12, 1 Au 3.83
9 Cs 0.4263 0.1901 0.9824  5 Hg 3.75-4.12, 1 Au 3.83
10 Cs 0.0737 0.9824 0.3099  5 Hg 3.75-4.12, 1 Au 3.83
11 Hg 0.0744 0.8428 0.9774  1 Au 2.94
12 Hg 0.0744 0.6572 0.5226  1 Au 2.94
13 Hg 0.9256 0.1572 0.0226  1 Au 2.94
14 Hg 0.4256 0.5226 0.8428  1 Au 2.94
15 Hg 0.5744 0.0226 0.3428  1 Au 2.94
16 Hg 0.9256 0.3428 0.4774  1 Au 2.94
17 Hg 0.4256 0.9774 0.6572  1 Au 2.94
18 Hg 0.5744 0.4774 0.1572  1 Au 2.94

***

Entry 6:
# HfHIN2

A geometry-optimized HfHIN2 structure (PBE, Alexandria).

Cell lengths 4.0540, 4.0540, 6.2006 Å; angles 90.00, 90.00, 90.00 degrees
Closest atoms and distances in Å follow each position.
Fractional coordinates of all 5 atoms:
1 N 0.0000 0.5000 0.0000  2 Hf 2.03
2 N 0.5000 0.0000 0.0000  2 Hf 2.03
3 Hf 0.0000 0.0000 0.0000  4 N 2.03
4 H 0.5000 0.5000 0.5000  4 I 2.87
5 I 0.0000 0.0000 0.5000  4 H 2.87, 2 Hf 3.10

***

Entry 7:
# EuYSiPd

A geometry-optimized EuYSiPd structure (PBE, Alexandria).

Computed properties:
Energy relative to the elements, uncorrected in eV per atom: -0.60

Cell lengths 5.0628, 5.0628, 5.0628 Å; angles 60.00, 60.00, 60.00 degrees
Closest atoms and distances in Å follow each position.
Fractional coordinates of all 4 atoms:
1 Eu 0.0000 0.0000 0.0000  4 Pd 3.10, 4 Si 3.10
2 Si 0.7500 0.7500 0.7500  4 Y 3.10, 4 Eu 3.10
3 Y 0.5000 0.5000 0.5000  4 Pd 3.10, 4 Si 3.10
4 Pd 0.2500 0.2500 0.2500  4 Eu 3.10, 4 Y 3.10

***

Entry 8:
# Hg2OsBr

A geometry-optimized Hg2OsBr structure (PBE, Alexandria).

Computed properties:
Energy relative to the elements, uncorrected in eV per atom: 1.16

Cell lengths 5.6335, 5.6335, 5.6335 Å; angles 137.21, 137.21, 62.12 degrees
Closest atoms and distances in Å follow each position.
Fractional coordinates of all 4 atoms:
1 Os 0.2500 0.7500 0.5000  4 Br 2.91, 8 Hg 3.17
2 Hg 0.0000 0.0000 0.0000  4 Hg 2.91, 4 Br 3.17, 4 Os 3.17
3 Hg 0.5000 0.5000 0.0000  4 Hg 2.91, 4 Br 3.17, 4 Os 3.17
4 Br 0.7500 0.2500 0.5000  4 Os 2.91, 8 Hg 3.17

***

Entry 9:
# AlV4Fe2

A geometry-optimized AlV4Fe2 structure (PBE, Alexandria).

Computed properties:
ΔH_f (0 K) in eV per atom: 1.08

Cell lengths 4.4046, 4.4046, 6.6262 Å; angles 70.59, 70.59, 90.00 degrees
Closest atoms and distances in Å follow each position.
Fractional coordinates of all 7 atoms:
1 Fe 0.6149 0.6149 0.7703  1 V 2.10
2 Fe 0.3851 0.3851 0.2297  1 V 2.10
3 Al 0.0000 0.0000 0.0000  6 V 2.20-2.40
4 V 0.5000 0.0000 0.0000  2 Al 2.20
5 V 0.7947 0.7947 0.4106  1 Fe 2.10
6 V 0.2053 0.2053 0.5894  1 Fe 2.10
7 V 0.0000 0.5000 0.0000  2 Al 2.20

***

Entry 10:
# Th2Al3ZnPd4

A geometry-optimized Th2Al3ZnPd4 structure (PBE, Alexandria).

Computed properties:
ΔH_f (0 K) in eV per atom: -0.77

Cell lengths 4.2780, 4.2780, 10.5328 Å; angles 90.00, 90.00, 90.00 degrees
Closest atoms and distances in Å follow each position.
Fractional coordinates of all 10 atoms:
1 Th 0.0000 0.5000 0.7468  8 Pd 3.24-3.42, 6 Al 3.31-3.37, 2 Zn 3.37
2 Th 0.5000 0.0000 0.2532  8 Pd 3.24-3.42, 6 Al 3.31-3.37, 2 Zn 3.37
3 Pd 0.0000 0.0000 0.0000  4 Al 2.52
4 Pd 0.5000 0.0000 0.6378  3 Al 2.49-2.58, 2 Zn 2.58
5 Pd 0.5000 0.5000 0.0000  4 Al 2.52
6 Pd 0.0000 0.5000 0.3622  3 Al 2.49-2.58, 2 Zn 2.58
7 Al 0.0000 0.0000 0.5000  4 Pd 2.58
8 Al 0.0000 0.5000 0.1257  5 Pd 2.49-2.52
9 Al 0.5000 0.0000 0.8743  5 Pd 2.49-2.52
10 Zn 0.5000 0.5000 0.5000  4 Pd 2.58

***

Entry 11:
# PmY2Ga

A geometry-optimized PmY2Ga structure (PBE, Alexandria).

Computed properties:
ΔH_f (0 K) in eV per atom: -0.29

Cell lengths 3.6735, 6.6790, 9.7253 Å; angles 90.00, 90.00, 105.95 degrees
Closest atoms and distances in Å follow each position.
Fractional coordinates of all 8 atoms:
1 Pm 0.9462 0.8922 0.2500  2 Ga 3.14
2 Pm 0.0538 0.1078 0.7500  2 Ga 3.14
3 Y 0.6369 0.2738 0.0428  3 Ga 3.08-3.21
4 Y 0.3631 0.7262 0.9572  3 Ga 3.08-3.21
5 Y 0.3631 0.7262 0.5428  3 Ga 3.08-3.21
6 Y 0.6369 0.2738 0.4572  3 Ga 3.08-3.21
7 Ga 0.2482 0.4960 0.2500  6 Y 3.08-3.21, 2 Pm 3.14
8 Ga 0.7518 0.5040 0.7500  6 Y 3.08-3.21, 2 Pm 3.14

***

Entry 12:
# Sr2TcPt

A geometry-optimized Sr2TcPt structure (PBE, Alexandria).

Computed properties:
ΔH_f (0 K) in eV per atom: 0.29

Cell lengths 3.6661, 3.6283, 8.6006 Å; angles 65.02, 90.00, 90.00 degrees
Closest atoms and distances in Å follow each position.
Fractional coordinates of all 4 atoms:
1 Tc 0.5000 0.2500 0.2500  8 Sr 3.33, 4 Tc 3.63-3.67
2 Sr 0.0000 0.4803 0.5194  4 Pt 3.14, 4 Tc 3.33
3 Sr 0.0000 0.0197 0.9806  4 Pt 3.14, 4 Tc 3.33
4 Pt 0.5000 0.7500 0.7500  8 Sr 3.14

***

no.,density (g/cm³),raw total energy (eV for the cell shown)
1,7.51,-63.599
2,14.19,-34.306
3,11.25,-25.500
4,8.63,-83.734
5,5.87,-20.157
6,5.45,-27.862
7,6.79,-29.773
8,13.67,-8.878
9,5.01,-49.598
10,8.93,-55.807
11,5.68,-43.749
12,7.50,-18.611